Record 1
VASP calculation (GGA-PBE) on crystalline NaSr2Au4 at its relaxed geometry.

The total energy comes out at -3.163 eV per atom. As for the magnetization: 0.00 μB/cell. As for the density: 9077 kg/m3. The value obtained for the formation energy from the elements is -0.621 eV per atom. As for the symmetry: C2/m.

Cell: 4.901 4.901 10.387 Å, 61.65 61.65 59.79°
Fractional positions:
Sr: 0.144 0.144 0.286
Au: 0.340 0.340 0.490
Na: 0.000 0.000 0.000
Au: 0.392 0.392 0.909
Sr: 0.856 0.856 0.714
Au: 0.608 0.608 0.091
Au: 0.660 0.660 0.510

---

Record 2
VASP calculation (GGA-PBE) on crystalline ZrFeCu at its relaxed geometry.

The total energy comes out at -6.635 eV per atom. As for the magnetization: 0.86 μB/cell. As for the density: 6754 kg/m3. The value obtained for the formation energy from the elements is 0.401 eV per atom. As for the symmetry: F-43m.

Cell: 4.184 4.184 4.184 Å, 60.00 60.00 60.00°
Fractional positions:
Fe: 0.750 0.750 0.750
Cu: 0.500 0.500 0.500
Zr: 0.000 0.000 0.000

---

Record 3
VASP calculation (GGA-PBE) on crystalline Pr2Nd2Sm7 at its relaxed geometry.

The total energy comes out at -4.567 eV per atom. As for the magnetization: 0.00 μB/cell. As for the density: 6951 kg/m3. The value obtained for the formation energy from the elements is 0.172 eV per atom. The calculation puts the excess energy over the best structure of this formula in the dataset at 0.379 eV/f.u. As for the symmetry: C2/m.

Cell: 8.499 6.849 6.849 Å, 88.53 80.46 80.46°
Fractional positions:
Pr: 0.158 0.600 0.600
Sm: 0.178 0.100 0.510
Sm: 0.822 0.900 0.490
Sm: 0.822 0.490 0.900
Nd: 0.500 0.186 0.814
Sm: 0.000 0.000 0.000
Sm: 0.178 0.510 0.100
Nd: 0.500 0.814 0.186
Sm: 0.511 0.305 0.305
Sm: 0.489 0.695 0.695
Pr: 0.842 0.400 0.400

---

Record 4
VASP calculation (GGA-PBE) on crystalline CeHoCo at its relaxed geometry.

The total energy comes out at -5.956 eV per atom. As for the magnetization: 0.01 μB/cell. As for the density: 8151 kg/m3. The value obtained for the formation energy from the elements is -0.083 eV per atom. The calculation puts the excess energy over the best structure of this formula in the dataset at 0.220 eV/f.u. As for the symmetry: P2_1/c.

Cell: 6.873 6.847 7.012 Å, 64.02 90.00 90.00°
Fractional positions:
Ce: 0.695 0.760 0.049
Co: 0.532 0.518 0.808
Ho: 0.180 0.724 0.917
Co: 0.032 0.482 0.692
Ce: 0.805 0.760 0.549
Ce: 0.195 0.240 0.451
Co: 0.468 0.482 0.192
Ho: 0.680 0.276 0.583
Ho: 0.820 0.276 0.083
Co: 0.968 0.518 0.308
Ce: 0.305 0.240 0.951
Ho: 0.320 0.724 0.417